[1]
Entry from Alexandria via LeMat-Bulk: a relaxed structure of TcAuSCl2 (PBE).

Cell: 4.9316 4.9316 4.4689 Å, 90.00 90.00 90.00°
Fractional coordinates of all 5 atoms:
Tc  0.0000  0.0000  0.0000
S  0.0000  0.0000  0.5000
Cl  0.5000  0.0000  0.0000
Cl  0.0000  0.5000  0.0000
Au  0.5000  0.5000  0.5000

Results
The magnetization comes out at 0.177 μB per atom. The distance to the lowest polymorph of the same formula is 0.00 eV per formula unit.

[2]
Entry from Alexandria via LeMat-Bulk: a relaxed structure of Tm5Sc5Pb6 (PBE).

Cell: 6.2909 8.7496 8.7497 Å, 119.71 90.00 90.00°
Fractional coordinates of all 16 atoms:
Sc  0.0000  0.2375  0.2375
Sc  0.2496  0.6677  0.3332
Sc  0.7504  0.6677  0.3332
Sc  0.2496  0.3332  0.6677
Sc  0.7504  0.3332  0.6677
Tm  0.5000  0.2345  0.0004
Tm  0.0000  0.7648  0.0000
Tm  0.0000  0.0000  0.7648
Tm  0.5000  0.7618  0.7618
Tm  0.5000  0.0004  0.2345
Pb  0.0000  0.5976  0.5976
Pb  0.0000  0.3971  0.0047
Pb  0.5000  0.6004  0.0004
Pb  0.5000  0.0004  0.6004
Pb  0.5000  0.3989  0.3989
Pb  0.0000  0.0047  0.3971

Results
The magnetization comes out at 0.000 μB per atom. The calculation puts the formation energy at -0.50 eV per atom.

[3]
Entry from Alexandria via LeMat-Bulk: a relaxed structure of Ce5HoIr6 (PBE).

Cell: 6.9666 6.9686 6.9768 Å, 60.04 80.41 70.51°
Fractional coordinates of all 12 atoms:
Ce  0.0000  0.6658  0.6685
Ce  0.5000  0.5000  0.0000
Ce  0.0000  0.3342  0.3315
Ce  0.5000  0.1680  0.6639
Ce  0.5000  0.8320  0.3361
Ir  0.7500  0.4191  0.6636
Ir  0.7465  0.7487  0.0000
Ir  0.2535  0.2513  0.0000
Ir  0.2500  0.5809  0.3364
Ir  0.2500  0.9172  0.6636
Ir  0.7500  0.0828  0.3364
Ho  0.0000  0.0000  0.0000

Results
The magnetization comes out at 0.000 μB per atom. The calculation puts the formation energy at -0.69 eV per atom.

[4]
Entry from Alexandria via LeMat-Bulk: a relaxed structure of Tb2Dy5ThMg (PBE).

Cell: 5.4737 10.3550 10.3870 Å, 90.00 90.00 105.33°
Fractional coordinates of all 18 atoms:
Dy  0.2867  0.5733  0.7069
Dy  0.9864  0.9728  0.5085
Dy  0.6204  0.2408  0.5085
Dy  0.7133  0.4267  0.2069
Dy  0.0136  0.0272  0.0085
Dy  0.3796  0.7592  0.0085
Dy  0.7142  0.4283  0.8100
Dy  0.5004  0.0009  0.2577
Dy  0.4996  0.9991  0.7577
Dy  0.2858  0.5717  0.3100
Th  0.8009  0.6018  0.5085
Th  0.1991  0.3982  0.0085
Tb  0.1148  0.2297  0.2968
Tb  0.8852  0.7703  0.7968
Tb  0.8849  0.7699  0.2203
Tb  0.1151  0.2301  0.7203
Mg  0.4039  0.8078  0.5068
Mg  0.5961  0.1922  0.0068

Results
The magnetization comes out at 0.000 μB per atom. The calculation puts the formation energy at 0.12 eV per atom.

Respective electronic total energy values: -20.2 -84.3 -95.7 -80.5 eV for the cell shown.